[1]
This record from the Alexandria database describes a relaxed structure of Ni2Hg2S. The functional is PBE.

For the energy relative to the elements, uncorrected, the calculation gives 0.111 eV/atom. The value obtained for the total magnetic moment is 0.0 μB per formula unit. The total DFT energy (no corrections) is -3.148 eV/atom.

```
data_Ni2Hg2S
_chemical_formula_sum 'Ni4 Hg4 S2'
_cell_length_a 5.996
_cell_length_b 5.996
_cell_length_c 5.424
_cell_angle_alpha 90.00
_cell_angle_beta 90.00
_cell_angle_gamma 90.00
_symmetry_space_group_name_H-M 'P 4/m b m'
_symmetry_Int_Tables_number 127
_symmetry_space_group_name_Hall '-P 4 2ab'
loop_
_atom_site_label
_atom_site_type_symbol
_atom_site_fract_x
_atom_site_fract_y
_atom_site_fract_z
Ni1 Ni 0.225 0.275 0.000
Hg1 Hg 0.178 0.322 0.500
S1 S 0.000 0.000 0.000
```

=====

[2]
This record from the Alexandria database describes a relaxed structure of Pm12IrRh6. The functional is PBE.

The value obtained for the total magnetic moment is 0.0 μB per formula unit. The total DFT energy (no corrections) is -6.330 eV/atom. As for the energy of formation from the pure elements: -0.542 eV/atom.

```
data_Pm12IrRh6
_chemical_formula_sum 'Pm36 Ir3 Rh18'
_cell_length_a 12.7386
_cell_length_b 12.7386
_cell_length_c 11.7621
_cell_angle_alpha 90.00
_cell_angle_beta 90.00
_cell_angle_gamma 120.00
_symmetry_space_group_name_H-M 'R -3'
_symmetry_Int_Tables_number 148
_symmetry_space_group_name_Hall '-R 3'
loop_
_atom_site_label
_atom_site_type_symbol
_atom_site_fract_x
_atom_site_fract_y
_atom_site_fract_z
Pm1 Pm 0.0251 0.8117 0.3904
Pm2 Pm 0.0366 0.8320 0.8806
Ir1 Ir 0.0000 0.0000 0.0000
Rh1 Rh 0.0430 0.7803 0.6454
```

=====

[3]
This record from the Alexandria database describes a relaxed structure of MnFeAsRu. The functional is PBE.

The value obtained for the total magnetic moment is 4.0 μB per formula unit. The total DFT energy (no corrections) is -7.933 eV/atom. As for the energy of formation from the pure elements: -0.043 eV/atom.

```
data_MnFeAsRu
_chemical_formula_sum 'Mn4 Fe4 As4 Ru4'
_cell_length_a 5.892
_cell_length_b 5.892
_cell_length_c 5.892
_cell_angle_alpha 90.00
_cell_angle_beta 90.00
_cell_angle_gamma 90.00
_symmetry_space_group_name_H-M 'F -4 3 m'
_symmetry_Int_Tables_number 216
_symmetry_space_group_name_Hall 'F -4 2 3'
loop_
_atom_site_label
_atom_site_type_symbol
_atom_site_fract_x
_atom_site_fract_y
_atom_site_fract_z
Mn1 Mn 0.000 0.000 0.000
Fe1 Fe 0.250 0.250 0.750
As1 As 0.000 0.000 0.500
Ru1 Ru 0.250 0.250 0.250
```

=====

[4]
This record from the Alexandria database describes a relaxed structure of YHo3Th3. The functional is PBE.

The value obtained for the total magnetic moment is 0.0 μB per formula unit. The total DFT energy (no corrections) is -6.014 eV/atom. As for the energy of formation from the pure elements: 0.052 eV/atom.

```
data_YHo3Th3
_chemical_formula_sum 'Y2 Ho6 Th6'
_cell_length_a 9.4915
_cell_length_b 9.4915
_cell_length_c 5.7910
_cell_angle_alpha 90.00
_cell_angle_beta 90.00
_cell_angle_gamma 120.00
_symmetry_space_group_name_H-M 'P 63/m'
_symmetry_Int_Tables_number 176
_symmetry_space_group_name_Hall '-P 6c'
loop_
_atom_site_label
_atom_site_type_symbol
_atom_site_fract_x
_atom_site_fract_y
_atom_site_fract_z
Y1 Y 0.3333 0.6667 0.2500
Ho1 Ho 0.0426 0.8051 0.2500
Th1 Th 0.1033 0.6180 0.7500
```

=====

[5]
This record from the Alexandria database describes a relaxed structure of BaNiP2. The functional is PBE.

The value obtained for the total magnetic moment is 0.0 μB per formula unit. The total DFT energy (no corrections) is -4.921 eV/atom. As for the energy of formation from the pure elements: -0.290 eV/atom.

```
data_BaNiP2
_chemical_formula_sum 'Ba2 Ni2 P4'
_cell_length_a 3.933
_cell_length_b 7.464
_cell_length_c 6.974
_cell_angle_alpha 90.00
_cell_angle_beta 90.00
_cell_angle_gamma 90.00
_symmetry_space_group_name_H-M 'C m m m'
_symmetry_Int_Tables_number 65
_symmetry_space_group_name_Hall '-C 2 2'
loop_
_atom_site_label
_atom_site_type_symbol
_atom_site_fract_x
_atom_site_fract_y
_atom_site_fract_z
Ba1 Ba 0.000 0.000 0.000
Ni1 Ni 0.000 0.000 0.500
P1 P 0.000 0.500 0.343
```

=====

[6]
This record from the Alexandria database describes a relaxed structure of As2IrPtSe. The functional is PBE.

For the energy relative to the elements, uncorrected, the calculation gives 0.831 eV/atom. The value obtained for the total magnetic moment is 0.0 μB per formula unit. The total DFT energy (no corrections) is -4.706 eV/atom.

```
data_As2IrPtSe
_chemical_formula_sum 'As2 Ir1 Pt1 Se1'
_cell_length_a 4.665
_cell_length_b 4.665
_cell_length_c 5.108
_cell_angle_alpha 90.00
_cell_angle_beta 90.00
_cell_angle_gamma 90.00
_symmetry_space_group_name_H-M 'P 4/m m m'
_symmetry_Int_Tables_number 123
_symmetry_space_group_name_Hall '-P 4 2'
loop_
_atom_site_label
_atom_site_type_symbol
_atom_site_fract_x
_atom_site_fract_y
_atom_site_fract_z
As1 As 0.000 0.500 0.000
Ir1 Ir 0.000 0.000 0.000
Pt1 Pt 0.500 0.500 0.500
Se1 Se 0.000 0.000 0.500
```

=====

[7]
This record from the Alexandria database describes a relaxed structure of RbNaAgHg. The functional is PBE.

The value obtained for the total magnetic moment is 0.0 μB per formula unit. The total DFT energy (no corrections) is -1.382 eV/atom. As for the energy of formation from the pure elements: -0.022 eV/atom.

```
data_RbNaAgHg
_chemical_formula_sum 'Rb4 Na4 Ag4 Hg4'
_cell_length_a 8.158
_cell_length_b 8.158
_cell_length_c 8.158
_cell_angle_alpha 90.00
_cell_angle_beta 90.00
_cell_angle_gamma 90.00
_symmetry_space_group_name_H-M 'F -4 3 m'
_symmetry_Int_Tables_number 216
_symmetry_space_group_name_Hall 'F -4 2 3'
loop_
_atom_site_label
_atom_site_type_symbol
_atom_site_fract_x
_atom_site_fract_y
_atom_site_fract_z
Rb1 Rb 0.000 0.000 0.000
Na1 Na 0.000 0.000 0.500
Ag1 Ag 0.250 0.250 0.250
Hg1 Hg 0.250 0.250 0.750
```

=====

[8]
This record from the Alexandria database describes a relaxed structure of Rb2LiOs. The functional is PBE.

The value obtained for the total magnetic moment is 1.2 μB per formula unit. The total DFT energy (no corrections) is -2.206 eV/atom. As for the energy of formation from the pure elements: 1.563 eV/atom.

```
data_Rb2LiOs
_chemical_formula_sum 'Rb8 Li4 Os4'
_cell_length_a 4.638
_cell_length_b 4.638
_cell_length_c 22.933
_cell_angle_alpha 90.00
_cell_angle_beta 90.00
_cell_angle_gamma 90.00
_symmetry_space_group_name_H-M 'I -4 2 d'
_symmetry_Int_Tables_number 122
_symmetry_space_group_name_Hall 'I -4 2bw'
loop_
_atom_site_label
_atom_site_type_symbol
_atom_site_fract_x
_atom_site_fract_y
_atom_site_fract_z
Rb1 Rb 0.250 0.250 0.125
Li1 Li 0.000 0.000 0.000
Os1 Os 0.000 0.000 0.500
```

=====

[9]
This record from the Alexandria database describes a relaxed structure of CePrFe. The functional is PBE.

The value obtained for the total magnetic moment is 0.0 μB per formula unit. The total DFT energy (no corrections) is -6.363 eV/atom. As for the energy of formation from the pure elements: 0.029 eV/atom.

```
data_CePrFe
_chemical_formula_sum 'Ce1 Pr1 Fe1'
_cell_length_a 4.0748
_cell_length_b 4.0748
_cell_length_c 5.1522
_cell_angle_alpha 90.00
_cell_angle_beta 90.00
_cell_angle_gamma 120.00
_symmetry_space_group_name_H-M 'P -6 m 2'
_symmetry_Int_Tables_number 187
_symmetry_space_group_name_Hall 'P -6 2'
loop_
_atom_site_label
_atom_site_type_symbol
_atom_site_fract_x
_atom_site_fract_y
_atom_site_fract_z
Ce1 Ce 0.0000 0.0000 0.0000
Pr1 Pr 0.3333 0.6667 0.5000
Fe1 Fe 0.6667 0.3333 0.0000
```

=====

[10]
This record from the Alexandria database describes a relaxed structure of Tb10Sn3Sb3. The functional is PBE.

For the energy relative to the elements, uncorrected, the calculation gives -0.837 eV/atom. The value obtained for the total magnetic moment is 0.0 μB per formula unit. The total DFT energy (no corrections) is -5.255 eV/atom.

```
data_Tb10Sn3Sb3
_chemical_formula_sum 'Tb10 Sn3 Sb3'
_cell_length_a 9.0209
_cell_length_b 9.0209
_cell_length_c 6.4617
_cell_angle_alpha 90.00
_cell_angle_beta 90.00
_cell_angle_gamma 120.00
_symmetry_space_group_name_H-M 'P -6 2 m'
_symmetry_Int_Tables_number 189
_symmetry_space_group_name_Hall 'P -6 -2'
loop_
_atom_site_label
_atom_site_type_symbol
_atom_site_fract_x
_atom_site_fract_y
_atom_site_fract_z
Tb1 Tb 0.0000 0.2423 0.0000
Tb2 Tb 0.0000 0.7583 0.5000
Tb3 Tb 0.3333 0.6667 0.2498
Sn1 Sn 0.0000 0.3925 0.5000
Sb1 Sb 0.0000 0.6089 0.0000
```

=====

Number 1: volume 19.498 Å³ per atom. Number 2: volume 28.999 Å³ per atom. Number 3: volume 12.782 Å³ per atom. Number 4: volume 32.272 Å³ per atom. Number 5: volume 25.590 Å³ per atom. Number 6: volume 22.238 Å³ per atom. Number 7: volume 33.933 Å³ per atom. Number 8: volume 30.839 Å³ per atom. Number 9: volume 24.695 Å³ per atom. Number 10: volume 28.462 Å³ per atom.